Entry 1:
First-principles (PBE) data for an optimized crystal structure of NdY4Ho15, as listed in Alexandria via LeMat-Bulk.

## Properties
* uncorrected energy: -98.84 eV/cell
* M_tot: 0.00 μB/cell
* E_form: 0.0224 eV per atom

a b c (Å): 5.0101 5.0101 25.0437
angles (deg): 90.00 90.00 90.00
Space group P4/mmm (No. 123)
Asymmetric unit:
Nd 0.0000 0.0000 0.0000 x1
Y 0.0000 0.0000 0.2006 x2
Y 0.0000 0.0000 0.4002 x2
Ho 0.0000 0.5000 0.1009 x4
Ho 0.0000 0.5000 0.3004 x4
Ho 0.0000 0.5000 0.5000 x2
Ho 0.5000 0.5000 0.0000 x1
Ho 0.5000 0.5000 0.2010 x2
Ho 0.5000 0.5000 0.4002 x2

=====

Entry 2:
First-principles (PBE) data for an optimized crystal structure of CsTl2CuHg, as listed in Alexandria via LeMat-Bulk.

## Properties
* uncorrected energy: -9.74 eV/cell
* M_tot: 0.00 μB/cell
* E_form: 0.0496 eV per atom

a b c (Å): 5.4168 5.4168 5.6111
angles (deg): 90.00 90.00 90.00
Space group P4/mmm (No. 123)
Asymmetric unit:
Cs 0.0000 0.0000 0.0000 x1
Tl 0.0000 0.5000 0.5000 x2
Cu 0.5000 0.5000 0.5000 x1
Hg 0.5000 0.5000 0.0000 x1

=====

Entry 3:
First-principles (PBE) data for an optimized crystal structure of Pr3Cu2Pd, as listed in Alexandria via LeMat-Bulk.

## Properties
* uncorrected energy: -118.19 eV/cell
* M_tot: 0.00 μB/cell
* E_form: -0.3038 eV per atom

a b c (Å): 11.9899 4.4564 11.3493
angles (deg): 90.00 90.00 90.00
Space group Pnma (No. 62)
Asymmetric unit:
Pr 0.0492 0.2500 0.1247 x4
Pr 0.1163 0.7500 0.5635 x4
Pr 0.2189 0.2500 0.8015 x4
Cu 0.0182 0.7500 0.3081 x4
Cu 0.1949 0.7500 0.0080 x4
Pd 0.1254 0.2500 0.3757 x4

=====

> What is the E_form in the second record?

0.0496 eV per atom

=====

> Which of these has the lowest uncorrected energy?

Pr3Cu2Pd

=====

> Look up the E_form of the third one.

-0.3038 eV per atom

=====

> Which value of E_form does entry 3 give?

-0.3038 eV per atom